Record 1
A plane-wave DFT calculation with PBE-GGA was carried out for AcEuHgPb after structural relaxation.

Calculated values
Total magnetization (μB per atom): 1.92
Density (Mg/m³): 9.873
Calculated total energy (eV per cell): -20.54

Cell: 5.7199 5.7199 5.7199 Å, 60.00 60.00 60.00°
Each line ends with the local moment (μB).
Positions (direct):
Eu  0.5000  0.5000  0.5000  6.92
Ac  0.0000  0.0000  0.0000  0.11
Hg  0.7500  0.7500  0.7500  0.05
Pb  0.2500  0.2500  0.2500  -0.03


Record 2
A plane-wave DFT calculation with PBE-GGA was carried out for AcEuHgPd after structural relaxation.

Calculated values
Total magnetization (μB per atom): 1.76
Density (Mg/m³): 9.962
Calculated total energy (eV per cell): -22.14

Cell: 5.4480 5.4480 5.4480 Å, 60.00 60.00 60.00°
Each line ends with the local moment (μB).
Positions (direct):
Pd  0.0000  0.0000  0.0000  -0.02
Hg  0.5000  0.5000  0.5000  0.00
Ac  0.7500  0.7500  0.7500  0.01
Eu  0.2500  0.2500  0.2500  6.83